Computed, not measured: a relaxed ScCrOs crystal at the PBE level of DFT.

It has space group C2/m (No. 12), with a = 9.7812 Å, b = 4.1363 Å, c = 6.5833 Å, α = 90.00°, β = 132.05° and γ = 90.00°. The inequivalent atoms are Sc at (0.0650, 0.0000, 0.3152), Cr at (0.1537, 0.5000, 0.0895) and Os at (0.1685, 0.5000, 0.7477).

As for the energy above the most stable polymorph in this dataset: 0.189 eV per atom.

Computed, not measured: a relaxed LiAcPrIn crystal at the PBE level of DFT.

It has space group F-43m (No. 216), with a = 7.9545 Å, b = 7.9545 Å, c = 7.9545 Å, α = 90.00°, β = 90.00° and γ = 90.00°. The inequivalent atoms are Li at (0.0000, 0.0000, 0.0000), Ac at (0.2500, 0.2500, 0.7500), Pr at (0.2500, 0.2500, 0.2500) and In at (0.0000, 0.0000, 0.5000).

The calculation puts the total energy at -0.13291 Ha/atom.

Computed, not measured: a relaxed Sr2GaBr crystal at the PBE level of DFT.

It has space group R-3m (No. 166, hexagonal axes), with a = 4.3422 Å, b = 4.3422 Å, c = 25.4545 Å, α = 90.00°, β = 90.00° and γ = 120.00°. The inequivalent atoms are Sr at (0.0000, 0.0000, 0.2455), Ga at (0.0000, 0.0000, 0.5000) and Br at (0.0000, 0.0000, 0.0000).

As for the energy above the most stable polymorph in this dataset: 0.073 eV per atom. Its raw formation energy is -938 meV per atom.

| no. | density of states at the Fermi level (states/eV/f.u.) | volume (Å³ per atom) |
| --- | --- | --- |
| 1 | 2.342 | 16.483 |
| 2 | 4.325 | 31.457 |
| 3 | 1.662 | 34.636 |